## CeMgGa3 (PBE)

Data for a relaxed structure of CeMgGa3.

abc: 4.224 4.183 12.391
angles: 99.72 90.00 90.00
Site moments in Bohr magnetons follow the coordinates.
Sites, in units of the cell vectors:
Ce  0.250  0.077  0.155  0.64
Ce  0.750  0.923  0.845  0.64
Mg  0.250  0.795  0.589  0.00
Mg  0.750  0.205  0.411  0.00
Ga  0.250  0.374  0.747  -0.01
Ga  0.750  0.626  0.253  -0.01
Ga  0.250  0.475  0.950  -0.01
Ga  0.750  0.525  0.050  -0.01
Ga  0.750  0.317  0.634  -0.01
Ga  0.250  0.683  0.366  -0.01

Output
Energy of formation in meV per atom: -416
Space group: No. 63

***

## CeMg14Ga (PBE)

Data for a relaxed structure of CeMg14Ga.

abc: 6.506 6.506 10.214
angles: 90.00 90.00 120.00
Site moments in Bohr magnetons follow the coordinates.
Sites, in units of the cell vectors:
Ce  0.000  0.000  0.000  0.86
Mg  0.015  0.508  0.000  0.00
Mg  0.992  0.496  0.500  0.00
Mg  0.492  0.985  0.000  0.00
Mg  0.504  0.008  0.500  0.00
Mg  0.492  0.508  0.000  0.00
Mg  0.504  0.496  0.500  0.00
Mg  0.165  0.835  0.261  0.00
Mg  0.165  0.835  0.739  0.00
Mg  0.165  0.330  0.261  0.00
Mg  0.165  0.330  0.739  0.00
Mg  0.670  0.835  0.261  0.00
Mg  0.670  0.835  0.739  0.00
Mg  0.667  0.333  0.238  0.00
Mg  0.667  0.333  0.762  0.00
Ga  0.000  0.000  0.500  0.00

Output
Polymorph energy (0 for the lowest one) in meV/atom: 37
Energy of formation in meV per atom: 29
Space group: No. 187

***

## Ce4Mg3Ga4 (PBE)

Data for a relaxed structure of Ce4Mg3Ga4.

abc: 4.243 8.970 8.844
angles: 120.47 103.88 90.00
Site moments in Bohr magnetons follow the coordinates.
Sites, in units of the cell vectors:
Ce  0.338  0.184  0.675  0.67
Ce  0.662  0.509  0.325  0.67
Ce  0.662  0.816  0.325  0.67
Ce  0.338  0.491  0.675  0.67
Mg  0.109  0.109  0.218  0.00
Mg  0.891  0.891  0.782  0.00
Mg  0.000  0.500  0.000  0.00
Ga  0.274  0.774  0.549  -0.02
Ga  0.726  0.226  0.451  -0.02
Ga  0.500  0.855  0.000  0.00
Ga  0.500  0.145  0.000  0.00

Output
Energy of formation in meV per atom: -159
Space group: No. 71

***

## Ce3Mg2Ga4 (PBE)

Data for a relaxed structure of Ce3Mg2Ga4.

abc: 4.668 5.889 8.652
angles: 72.84 74.35 66.65
Site moments in Bohr magnetons follow the coordinates.
Sites, in units of the cell vectors:
Ce  0.334  0.662  0.669  0.57
Ce  0.000  0.000  0.000  0.66
Ce  0.666  0.338  0.331  0.57
Mg  0.386  0.946  0.281  0.00
Mg  0.614  0.054  0.719  0.00
Ga  0.299  0.372  0.031  -0.01
Ga  0.701  0.628  0.969  -0.01
Ga  0.074  0.267  0.586  -0.02
Ga  0.926  0.733  0.414  -0.02

Output
Polymorph energy (0 for the lowest one) in meV/atom: 0
Energy of formation in meV per atom: -398
Space group: No. 12

***

## CeMgGa (PBE)

Data for a relaxed structure of CeMgGa.

abc: 4.702 4.702 7.975
angles: 72.85 72.85 60.00
Site moments in Bohr magnetons follow the coordinates.
Sites, in units of the cell vectors:
Mg  0.293  0.293  0.120  0.00
Mg  0.707  0.707  0.880  0.00
Ce  0.140  0.140  0.579  0.83
Ce  0.860  0.860  0.421  0.83
Ga  0.419  0.419  0.743  -0.02
Ga  0.581  0.581  0.257  -0.02

Output
Energy of formation in meV per atom: -161
Space group: No. 166

***

## Ce2MgGa (PBE)

Data for a relaxed structure of Ce2MgGa.

abc: 3.119 3.119 11.409
angles: 82.14 82.14 60.00
Sites, in units of the cell vectors:
Mg  0.500  0.500  0.500
Ga  0.000  0.000  0.000
Ce  0.256  0.256  0.232
Ce  0.744  0.744  0.768

Output
Energy of formation in meV per atom: -106
Space group: No. 166

***

## Ce2MgGa12 (PBE)

Data for a relaxed structure of Ce2MgGa12.

abc: 6.303 6.303 15.322
angles: 90.00 90.00 90.00
Site moments in Bohr magnetons follow the coordinates.
Sites, in units of the cell vectors:
Ce  0.500  0.000  0.247  0.75
Ce  0.000  0.500  0.247  0.75
Ce  0.000  0.500  0.753  0.75
Ce  0.500  0.000  0.753  0.75
Mg  0.500  0.000  0.000  0.00
Mg  0.000  0.500  0.000  0.00
Ga  0.500  0.500  0.814  0.00
Ga  0.000  0.000  0.814  0.00
Ga  0.750  0.750  0.905  0.01
Ga  0.250  0.750  0.905  0.01
Ga  0.000  0.000  0.346  0.00
Ga  0.250  0.750  0.095  0.01
Ga  0.829  0.329  0.571  0.00
Ga  0.500  0.500  0.346  0.00
Ga  0.250  0.250  0.905  0.01
Ga  0.750  0.750  0.095  0.01
Ga  0.329  0.171  0.571  0.00
Ga  0.671  0.171  0.429  0.00
Ga  0.000  0.000  0.654  0.00
Ga  0.171  0.329  0.429  0.00
Ga  0.250  0.250  0.095  0.01
Ga  0.829  0.671  0.429  0.00
Ga  0.671  0.829  0.571  0.00
Ga  0.000  0.000  0.186  0.00
Ga  0.171  0.671  0.571  0.00
Ga  0.500  0.500  0.654  0.00
Ga  0.750  0.250  0.905  0.01
Ga  0.500  0.500  0.186  0.00
Ga  0.329  0.829  0.429  0.00
Ga  0.750  0.250  0.095  0.01

Output
Energy of formation in meV per atom: -268
Space group: No. 125

***

## Ce5Mg4Ga4 (PBE)

Data for a relaxed structure of Ce5Mg4Ga4.

abc: 4.456 8.745 8.745
angles: 86.28 75.24 75.24
Site moments in Bohr magnetons follow the coordinates.
Sites, in units of the cell vectors:
Ce  0.696  0.932  0.676  0.80
Ce  0.304  0.068  0.324  0.80
Ce  0.000  0.000  0.000  0.94
Ce  0.628  0.676  0.068  0.80
Ce  0.372  0.324  0.932  0.80
Mg  0.894  0.523  0.689  0.00
Mg  0.583  0.311  0.523  0.00
Mg  0.106  0.477  0.311  0.00
Mg  0.417  0.689  0.477  0.00
Ga  0.747  0.315  0.192  -0.01
Ga  0.253  0.685  0.808  -0.01
Ga  0.939  0.808  0.315  -0.01
Ga  0.061  0.192  0.685  -0.01

Output
Energy of formation in meV per atom: -297
Space group: No. 87

***

## CeMg14Ga (PBE)

Data for a relaxed structure of CeMg14Ga.

abc: 6.510 6.510 10.394
angles: 90.00 90.00 122.21
Site moments in Bohr magnetons follow the coordinates.
Sites, in units of the cell vectors:
Ce  0.821  0.179  0.500  0.78
Mg  0.833  0.167  0.000  0.00
Mg  0.330  0.670  0.000  0.00
Mg  0.326  0.188  0.500  0.00
Mg  0.327  0.162  0.000  0.00
Mg  0.812  0.674  0.500  0.00
Mg  0.838  0.673  0.000  0.00
Mg  0.169  0.329  0.247  0.00
Mg  0.169  0.329  0.753  0.00
Mg  0.671  0.831  0.247  0.00
Mg  0.671  0.831  0.753  0.00
Mg  0.666  0.334  0.242  0.00
Mg  0.666  0.334  0.758  0.00
Mg  0.177  0.823  0.272  0.00
Mg  0.177  0.823  0.728  0.00
Ga  0.345  0.655  0.500  0.01

Output
Polymorph energy (0 for the lowest one) in meV/atom: 0
Energy of formation in meV per atom: -8
Space group: No. 38

***

## Ce4MgGa5 (PBE)

Data for a relaxed structure of Ce4MgGa5.

abc: 3.285 3.285 20.369
angles: 90.00 90.00 90.00
Site moments in Bohr magnetons follow the coordinates.
Sites, in units of the cell vectors:
Ce  0.000  0.000  0.186  0.13
Ce  0.000  0.000  0.395  -0.06
Ce  0.000  0.000  0.605  -0.06
Ce  0.000  0.000  0.814  0.13
Mg  0.000  0.000  0.000  0.00
Ga  0.500  0.500  0.082  0.00
Ga  0.500  0.500  0.290  0.00
Ga  0.500  0.500  0.500  0.00
Ga  0.500  0.500  0.710  0.00
Ga  0.500  0.500  0.918  0.00

Output
Energy of formation in meV per atom: -431
Space group: No. 123

***

## CeMg3Ga3 (PBE)

Data for a relaxed structure of CeMg3Ga3.

abc: 7.302 7.302 7.302
angles: 90.00 90.00 90.00
Site moments in Bohr magnetons follow the coordinates.
Sites, in units of the cell vectors:
Mg  0.250  0.000  0.500  0.00
Mg  0.000  0.500  0.250  0.00
Mg  0.500  0.750  0.000  0.00
Mg  0.750  0.000  0.500  0.00
Mg  0.000  0.500  0.750  0.00
Mg  0.500  0.250  0.000  0.00
Ga  0.000  0.250  0.500  0.01
Ga  0.000  0.750  0.500  0.01
Ga  0.500  0.000  0.750  0.01
Ga  0.750  0.500  0.000  0.01
Ga  0.500  0.000  0.250  0.01
Ga  0.250  0.500  0.000  0.01
Ce  0.500  0.500  0.500  1.21
Ce  0.000  0.000  0.000  1.21

Output
Polymorph energy (0 for the lowest one) in meV/atom: 541
Energy of formation in meV per atom: 307
Space group: No. 223

***

## Ce2MgGa (PBE)

Data for a relaxed structure of Ce2MgGa.

abc: 3.917 3.917 6.706
angles: 90.00 90.00 90.00
Site moments in Bohr magnetons follow the coordinates.
Sites, in units of the cell vectors:
Mg  0.500  0.500  0.500  0.00
Ga  0.500  0.500  0.000  -0.02
Ce  0.000  0.000  0.793  0.50
Ce  0.000  0.000  0.207  0.50

Output
Energy of formation in meV per atom: -224
Space group: No. 123

***

## Ce4MgGa12 (PBE)

Data for a relaxed structure of Ce4MgGa12.

abc: 7.662 7.662 7.662
angles: 109.47 109.47 109.47
Site moments in Bohr magnetons follow the coordinates.
Sites, in units of the cell vectors:
Ce  0.000  0.000  0.500  0.36
Ce  0.500  0.000  0.000  0.36
Ce  0.500  0.500  0.500  0.36
Ce  0.000  0.500  0.000  0.36
Mg  0.000  0.000  0.000  0.00
Ga  0.000  0.313  0.313  0.00
Ga  0.000  0.687  0.687  0.00
Ga  0.687  0.687  0.000  0.00
Ga  0.313  0.313  0.000  0.00
Ga  0.313  0.000  0.313  0.00
Ga  0.687  0.000  0.687  0.00
Ga  0.500  0.250  0.750  0.00
Ga  0.500  0.750  0.250  0.00
Ga  0.750  0.250  0.500  0.00
Ga  0.250  0.750  0.500  0.00
Ga  0.750  0.500  0.250  0.00
Ga  0.250  0.500  0.750  0.00

Output
Energy of formation in meV per atom: -513
Space group: No. 229

***

## CeMgGa (PBE)

Data for a relaxed structure of CeMgGa.

abc: 3.462 4.837 4.837
angles: 120.00 90.00 90.00
Site moments in Bohr magnetons follow the coordinates.
Sites, in units of the cell vectors:
Mg  0.166  0.667  0.333  0.01
Ga  0.167  0.000  0.000  -0.01
Ce  0.667  0.333  0.667  0.77

Output
Energy of formation in meV per atom: -281
Space group: No. 187

***

## Ce2MgGa (PBE)

Data for a relaxed structure of Ce2MgGa.

abc: 4.785 4.413 4.413
angles: 90.00 90.00 90.00
Sites, in units of the cell vectors:
Mg  0.500  0.500  0.500
Ga  0.500  0.000  0.000
Ce  0.000  0.000  0.500
Ce  0.000  0.500  0.000

Output
Energy of formation in meV per atom: -234
Space group: No. 123

***

## CeMg6Ga2 (PBE)

Data for a relaxed structure of CeMg6Ga2.

abc: 4.411 4.411 10.365
angles: 90.00 90.00 90.00
Site moments in Bohr magnetons follow the coordinates.
Sites, in units of the cell vectors:
Ce  0.000  0.000  0.000  0.82
Mg  0.000  0.500  0.278  0.00
Mg  0.500  0.000  0.278  0.00
Mg  0.000  0.500  0.722  0.00
Mg  0.500  0.000  0.722  0.00
Mg  0.500  0.500  0.500  0.00
Mg  0.000  0.000  0.500  0.00
Ga  0.500  0.500  0.118  0.00
Ga  0.500  0.500  0.882  0.00

Output
Energy of formation in meV per atom: -196
Space group: No. 123

***

## Ce2MgGa4 (PBE)

Data for a relaxed structure of Ce2MgGa4.

abc: 4.784 4.784 8.372
angles: 106.60 106.60 90.00
Site moments in Bohr magnetons follow the coordinates.
Sites, in units of the cell vectors:
Ce  0.634  0.634  0.268  0.73
Ce  0.366  0.366  0.732  0.73
Mg  0.000  0.000  0.000  0.00
Ga  0.828  0.828  0.656  0.04
Ga  0.172  0.172  0.344  0.04
Ga  0.000  0.500  0.000  0.00
Ga  0.500  0.000  0.000  0.00

Output
Energy of formation in meV per atom: -32
Space group: No. 139

***

## Ce4MgGa2 (PBE)

Data for a relaxed structure of Ce4MgGa2.

abc: 5.264 5.264 7.833
angles: 70.37 70.37 60.00
Site moments in Bohr magnetons follow the coordinates.
Sites, in units of the cell vectors:
Ce  0.422  0.422  0.733  0.76
Ce  0.254  0.254  0.238  0.62
Ce  0.746  0.746  0.762  0.62
Ce  0.578  0.578  0.267  0.76
Mg  0.000  0.000  0.000  -0.01
Ga  0.120  0.120  0.641  -0.02
Ga  0.880  0.880  0.359  -0.02

Output
Energy of formation in meV per atom: -126
Space group: No. 166

***

## Ce3Mg4Ga4 (PBE)

Data for a relaxed structure of Ce3Mg4Ga4.

abc: 4.563 7.361 8.682
angles: 115.08 105.24 90.00
Site moments in Bohr magnetons follow the coordinates.
Sites, in units of the cell vectors:
Ce  0.118  0.118  0.237  0.65
Ce  0.882  0.882  0.763  0.65
Ce  0.000  0.500  0.000  0.78
Mg  0.328  0.133  0.656  0.00
Mg  0.672  0.476  0.344  0.00
Mg  0.672  0.867  0.344  0.00
Mg  0.328  0.524  0.656  0.00
Ga  0.218  0.718  0.437  -0.01
Ga  0.782  0.282  0.563  -0.01
Ga  0.500  0.816  0.000  -0.02
Ga  0.500  0.184  0.000  -0.02

Output
Energy of formation in meV per atom: -357
Space group: No. 71

***

## Ce4MgGa (PBE)

Data for a relaxed structure of Ce4MgGa.

abc: 5.315 5.977 5.977
angles: 96.77 63.55 63.55
Sites, in units of the cell vectors:
Ce  0.748  0.596  0.910
Ce  0.748  0.910  0.596
Ce  0.252  0.404  0.090
Ce  0.252  0.090  0.404
Mg  0.000  0.000  0.000
Ga  0.500  0.500  0.500

Output
Energy of formation in meV per atom: -127
Space group: No. 12

***

## Ce5MgGa3 (PBE)

Data for a relaxed structure of Ce5MgGa3.

abc: 6.372 8.983 8.983
angles: 120.00 90.00 90.00
Site moments in Bohr magnetons follow the coordinates.
Sites, in units of the cell vectors:
Ce  0.000  0.667  0.333  1.02
Ce  0.500  0.333  0.667  1.02
Ce  0.000  0.333  0.667  1.02
Ce  0.500  0.667  0.333  1.02
Ce  0.750  0.669  0.669  0.74
Ce  0.750  0.000  0.331  0.74
Ce  0.750  0.331  0.000  0.74
Ce  0.250  0.331  0.331  0.74
Ce  0.250  0.000  0.669  0.74
Ce  0.250  0.669  0.000  0.74
Mg  0.000  0.000  0.000  0.00
Mg  0.500  0.000  0.000  0.00
Ga  0.750  0.330  0.330  -0.02
Ga  0.750  0.000  0.670  -0.02
Ga  0.750  0.670  0.000  -0.02
Ga  0.250  0.670  0.670  -0.02
Ga  0.250  0.000  0.330  -0.02
Ga  0.250  0.330  0.000  -0.02

Output
Energy of formation in meV per atom: -326
Space group: No. 193

***

## CeMgGa (PBE)

Data for a relaxed structure of CeMgGa.

abc: 3.236 3.236 6.928
angles: 103.50 103.50 90.00
Site moments in Bohr magnetons follow the coordinates.
Sites, in units of the cell vectors:
Mg  0.312  0.312  0.624  0.00
Ce  0.014  0.014  0.027  0.60
Ga  0.675  0.675  0.349  0.00

Output
Energy of formation in meV per atom: -216
Space group: No. 107